Material: Cr2Se3
Method: DFT, GGA-PBE
State: optimized geometry

The structure belongs to space group P-1 (No. 2); the cell edges are 6.8897, 7.3189 and 8.6318 Å and the angles 90.67°, 103.88° and 104.86°. The inequivalent atoms are Cr at (0.0087, 0.2603, 0.4806), Cr at (0.3097, 0.0641, 0.8402), Cr at (0.3223, 0.5942, 0.8264), Cr at (0.3305, 0.8270, 0.3252), Se at (0.0479, 0.7584, 0.8124), Se at (0.0583, 0.2692, 0.7910), Se at (0.2741, 0.0626, 0.5290), Se at (0.2744, 0.5729, 0.5263), Se at (0.3962, 0.0957, 0.1398) and Se at (0.4119, 0.6103, 0.1323).

As for the total energy: -6.4644 eV per atom.

***

Material: Cr3Se
Method: DFT, GGA-PBE
State: optimized geometry

The structure belongs to space group Pmmm (No. 47); the cell edges are 2.8828, 3.7742 and 4.7527 Å and the angles 90.00°, 90.00° and 90.00°. The inequivalent atoms are Cr at (0.0000, 0.0000, 0.0000), Cr at (0.5000, 0.5000, 0.2231) and Se at (0.0000, 0.0000, 0.5000).

As for the distance to the lowest polymorph of the same formula: 73 meV/atom.

***

Material: CrSe
Method: DFT, GGA-PBE
State: optimized geometry

The structure belongs to space group Fddd (No. 70, origin choice 2); the cell edges are 8.0152, 8.1237 and 9.4344 Å and the angles 90.00°, 90.00° and 90.00°. The inequivalent atoms are Cr at (0.1250, 0.1250, 0.0137) and Se at (0.1250, 0.3539, 0.6250).

As for the total energy: -6.6176 eV per atom.

***

Here are the calculated DOS(E_F) numbers, same order: 1.77; 3.45; 1.77 (states/eV/f.u.).